# GaNiAg2 | the Open Quantum Materials Database | GGA-PBE | relaxed
data_GaNiAg2
_space_group_name_H-M_alt 'F -4 3 m'
_space_group_IT_number 216
_space_group_name_Hall 'F -4 2 3'
_cell_length_a 6.276
_cell_length_b 6.276
_cell_length_c 6.276
_cell_angle_alpha 90.00
_cell_angle_beta 90.00
_cell_angle_gamma 90.00
loop_
_atom_site_label
_atom_site_fract_x
_atom_site_fract_y
_atom_site_fract_z
Ga1 0.000 0.000 0.000
Ni1 0.250 0.250 0.250
Ag1 0.000 0.000 0.500
Ag2 0.250 0.250 0.750
# E_tot: -56.42 eV for the cell shown